# Cs2RbLiCl GGA-PBE relaxed
# - symmetry = No. 123
# - E (eV per atom) = -1.945
# - energy above the lowest structure with this stoichiometry (meV per atom) = 0.0
# - energy relative to the elements, uncorrected (meV/atom) = -658
data_Cs2RbLiCl
_symmetry_space_group_name_H-M 'P 1'
_symmetry_Int_Tables_number 1
_cell_length_a 6.916
_cell_length_b 6.916
_cell_length_c 6.576
_cell_angle_alpha 90.00
_cell_angle_beta 90.00
_cell_angle_gamma 90.00
loop_
_symmetry_equiv_pos_as_xyz
'x,y,z'
loop_
_atom_site_label
_atom_site_fract_x
_atom_site_fract_y
_atom_site_fract_z
Cs1 0.000 0.500 0.000
Cs2 0.500 0.000 0.000
Rb1 0.000 0.000 0.500
Li1 0.500 0.500 0.500
Cl1 0.000 0.000 0.000

=====

# CsLiReCl6 GGA-PBE relaxed
# - symmetry = No. 149
# - E (eV per atom) = -4.144
# - energy relative to the elements, uncorrected (meV/atom) = -1222
data_CsLiReCl6
_symmetry_space_group_name_H-M 'P 1'
_symmetry_Int_Tables_number 1
_cell_length_a 6.549
_cell_length_b 6.549
_cell_length_c 7.804
_cell_angle_alpha 90.00
_cell_angle_beta 90.00
_cell_angle_gamma 120.00
loop_
_symmetry_equiv_pos_as_xyz
'x,y,z'
loop_
_atom_site_label
_atom_site_fract_x
_atom_site_fract_y
_atom_site_fract_z
Cs1 0.000 0.000 0.000
Li1 0.333 0.667 0.500
Re1 0.667 0.333 0.500
Cl1 0.382 0.026 0.676
Cl2 0.382 0.356 0.324
Cl3 0.644 0.026 0.324
Cl4 0.644 0.618 0.676
Cl5 0.974 0.356 0.676
Cl6 0.974 0.618 0.324

=====

# CsLiRhCl6 GGA-PBE relaxed
# - symmetry = No. 149
# - E (eV per atom) = -3.466
# - energy relative to the elements, uncorrected (meV/atom) = -1110
data_CsLiRhCl6
_symmetry_space_group_name_H-M 'P 1'
_symmetry_Int_Tables_number 1
_cell_length_a 6.439
_cell_length_b 6.439
_cell_length_c 7.807
_cell_angle_alpha 90.00
_cell_angle_beta 90.00
_cell_angle_gamma 120.00
loop_
_symmetry_equiv_pos_as_xyz
'x,y,z'
loop_
_atom_site_label
_atom_site_fract_x
_atom_site_fract_y
_atom_site_fract_z
Cs1 0.000 0.000 0.000
Li1 0.333 0.667 0.500
Rh1 0.667 0.333 0.500
Cl1 0.380 0.025 0.673
Cl2 0.380 0.355 0.327
Cl3 0.645 0.025 0.327
Cl4 0.645 0.620 0.673
Cl5 0.975 0.355 0.673
Cl6 0.975 0.620 0.327

=====

Values for total moment, μB/cell, ordered as above
0.00 3.00 1.09